Compound: Al2CuAg
Source: Alexandria
Functional: PBE-GGA
Structure: optimized geometry

Lattice parameters (Å, degrees): 3.817 4.011 4.011 90.00 90.00 90.00
Atoms (fractional coordinates):
Cu  0.500  0.500  0.000
Ag  0.500  0.000  0.500
Al  0.000  0.000  0.000
Al  0.000  0.500  0.500

Space group: P4/mmm (123)
Theoretical density, Mg/m³: 6.09
Relative energy among the computed polymorphs, meV per atom: 45
Energy of formation from the pure elements, meV/atom: -34
Total DFT energy (no corrections), eV per cell: -14.57